VASP calculation (GGA+U) on a relaxed structure of Cr3O8.

Raw total energy = -6.458 eV per atom

a = 5.817 Å, b = 5.817 Å, c = 9.943 Å
α = 90.00°, β = 90.00°, γ = 120.00°
Atoms (fractional coordinates):
Cr  0.165  0.329  0.000
Cr  0.165  0.835  0.000
Cr  0.329  0.165  0.500
Cr  0.671  0.835  0.000
Cr  0.835  0.165  0.500
Cr  0.835  0.671  0.500
O  0.000  0.000  0.105
O  0.000  0.000  0.605
O  0.071  0.535  0.119
O  0.162  0.325  0.422
O  0.162  0.838  0.422
O  0.325  0.162  0.922
O  0.333  0.667  0.902
O  0.465  0.535  0.119
O  0.465  0.929  0.119
O  0.535  0.071  0.619
O  0.535  0.465  0.619
O  0.667  0.333  0.402
O  0.675  0.838  0.422
O  0.838  0.162  0.922
O  0.838  0.675  0.922
O  0.929  0.465  0.619